# 1
Density functional theory data (PBE) for a relaxed structure of AlAgPd.

Lattice parameters (Å, degrees): 4.3292 4.3292 2.9626 90.00 90.00 120.00
Space group P3m1 (No. 156)
Inequivalent atoms, fractional coordinates:
Al: 0.0000 0.0000 0.0000 [1 per cell]
Ag: 0.3333 0.6667 0.5988 [1 per cell]
Pd: 0.6667 0.3333 0.1230 [1 per cell]

Properties
**Energy relative to the elements**: -0.402 eV per atom
**Fermi-level density of states**: 0.3299 states/eV/atom

# 2
Density functional theory data (PBE) for a relaxed structure of La3CdGa2.

Lattice parameters (Å, degrees): 5.4088 5.4088 13.2990 90.00 90.00 120.00
Space group P-3m1 (No. 164)
Inequivalent atoms, fractional coordinates:
La: 0.0000 0.0000 0.2388 [2 per cell]
La: 0.3333 0.6667 0.4174 [2 per cell]
La: 0.3333 0.6667 0.9271 [2 per cell]
Cd: 0.3333 0.6667 0.6724 [2 per cell]
Ga: 0.0000 0.0000 0.0000 [1 per cell]
Ga: 0.0000 0.0000 0.5000 [1 per cell]
Ga: 0.3333 0.6667 0.1746 [2 per cell]

Properties
**Energy relative to the elements**: -0.486 eV per atom
**Fermi-level density of states**: 1.0794 states/eV/atom

# 3
Density functional theory data (PBE) for a relaxed structure of PuSiRhC.

Lattice parameters (Å, degrees): 3.867 3.867 8.414 90.00 90.00 90.00
Space group P4/nmm (No. 129, origin choice 2)
Inequivalent atoms, fractional coordinates:
Pu: 0.250 0.250 0.151 [2 per cell]
Si: 0.250 0.250 0.660 [2 per cell]
Rh: 0.250 0.750 0.500 [2 per cell]
C: 0.250 0.250 0.878 [2 per cell]

Properties
**Uncorrected formation energy**: -0.4909 eV per atom
**Fermi-level density of states**: 1.9914 states/eV/atom

# 4
Density functional theory data (PBE) for a relaxed structure of NdCdNi5.

Lattice parameters (Å, degrees): 8.209 4.895 10.384 90.00 90.00 90.00
Space group Pnma (No. 62)
Inequivalent atoms, fractional coordinates:
Nd: 0.246 0.250 0.060 [4 per cell]
Cd: 0.138 0.750 0.863 [4 per cell]
Ni: 0.047 0.750 0.113 [4 per cell]
Ni: 0.068 0.501 0.313 [8 per cell]
Ni: 0.079 0.250 0.516 [4 per cell]
Ni: 0.188 0.250 0.739 [4 per cell]

Properties
**Energy relative to the elements**: -0.211 eV per atom
**Fermi-level density of states**: 1.3028 states/eV/atom

# 5
Density functional theory data (PBE) for a relaxed structure of NaSc2InRh.

Lattice parameters (Å, degrees): 4.944 4.944 5.330 90.00 90.00 90.00
Space group P4/mmm (No. 123)
Inequivalent atoms, fractional coordinates:
Na: 0.000 0.000 0.000 [1 per cell]
Sc: 0.000 0.500 0.500 [2 per cell]
In: 0.500 0.500 0.000 [1 per cell]
Rh: 0.000 0.000 0.500 [1 per cell]

Properties
**Energy relative to the elements**: -0.039 eV per atom
**Fermi-level density of states**: 0.7736 states/eV/atom

# 6
Density functional theory data (PBE) for a relaxed structure of Rb2ScSe.

Lattice parameters (Å, degrees): 13.227 13.227 5.134 90.00 90.00 90.00
Space group I-42d (No. 122)
Inequivalent atoms, fractional coordinates:
Rb: 0.090 0.250 0.125 [8 per cell]
Sc: 0.000 0.000 0.500 [4 per cell]
Se: 0.000 0.000 0.000 [4 per cell]

Properties
**Uncorrected formation energy**: -0.3651 eV per atom
**Fermi-level density of states**: 1.2423 states/eV/atom